Record 1
Compound: HfScHg2P
Source: Alexandria via LeMat-Bulk
Functional: GGA-PBE
Structure: optimized geometry Values from VASP.

Cell and atoms, written as Quantum ESPRESSO input:
```
&SYSTEM
  ibrav = 0, nat = 5, ntyp = 4
/
ATOMIC_SPECIES
P 30.97 P.upf
Hf 178.49 Hf.upf
Hg 200.59 Hg.upf
Sc 44.96 Sc.upf
CELL_PARAMETERS angstrom
5.233 0.000 0.000
0.000 4.730 0.000
0.000 0.000 5.233
ATOMIC_POSITIONS angstrom
P 0.000 2.365 0.000
Hf 2.616 2.365 2.616
Hg 0.000 0.000 2.616
Hg 2.616 0.000 0.000
Sc 0.000 0.000 0.000
```

Properties
Raw total energy = -3.85 eV per atom
Density of states at the Fermi level = 4.194 states/eV/f.u.
Space-group type = P4/mmm
DFT formation energy = 3.05 eV per formula unit
Calculated volume = 25.90 Å³/atom

---

Record 2
Compound: La2Pm9Nd
Source: Alexandria via LeMat-Bulk
Functional: GGA-PBE
Structure: optimized geometry Values from VASP.

Cell and atoms, written as Quantum ESPRESSO input:
```
&SYSTEM
  ibrav = 0, nat = 12, ntyp = 3
/
ATOMIC_SPECIES
Pm 145.00 Pm.upf
La 138.91 La.upf
Nd 144.24 Nd.upf
CELL_PARAMETERS angstrom
5.189 0.000 0.000
0.000 5.189 0.000
0.000 0.000 15.571
ATOMIC_POSITIONS angstrom
Pm 2.594 0.000 2.577
Pm 2.594 0.000 7.785
Pm 0.000 2.594 2.577
Pm 0.000 2.594 7.785
Pm 2.594 0.000 12.994
Pm 2.594 2.594 10.392
Pm 2.594 2.594 5.179
Pm 2.594 2.594 0.000
Pm 0.000 2.594 12.994
La 0.000 0.000 5.190
La 0.000 0.000 10.381
Nd 0.000 0.000 0.000
```

Properties
Raw total energy = -4.77 eV per atom
Density of states at the Fermi level = 20.949 states/eV/f.u.
Energy above the lowest structure with this stoichiometry = 0.0000 eV per atom
Space-group type = P4/mmm
DFT formation energy = 0.19 eV per formula unit
Calculated volume = 34.94 Å³/atom

---

Record 3
Compound: Pb2CBr
Source: Alexandria via LeMat-Bulk
Functional: GGA-PBE
Structure: optimized geometry Values from VASP.

Cell and atoms, written as Quantum ESPRESSO input:
```
&SYSTEM
  ibrav = 0, nat = 4, ntyp = 3
/
ATOMIC_SPECIES
Pb 207.20 Pb.upf
Br 79.90 Br.upf
C 12.01 C.upf
CELL_PARAMETERS angstrom
-2.881 -4.220 0.395
-5.091 0.318 -0.492
-2.299 -1.931 -4.153
ATOMIC_POSITIONS angstrom
Pb -7.703 -4.375 -3.187
Pb -2.568 -1.458 -1.062
Br -5.135 -2.917 -2.125
C 0.000 0.000 0.000
```

Properties
Raw total energy = -3.41 eV per atom
Density of states at the Fermi level = 2.494 states/eV/f.u.
Energy above the lowest structure with this stoichiometry = 0.5050 eV per atom
Formation energy without anion corrections = 1.17 eV per atom
Space-group type = Fm-3m
Calculated volume = 23.79 Å³/atom

---

Record 4
Compound: RbAcB12
Source: Alexandria via LeMat-Bulk
Functional: GGA-PBE
Structure: optimized geometry Values from VASP.

Cell and atoms, written as Quantum ESPRESSO input:
```
&SYSTEM
  ibrav = 0, nat = 14, ntyp = 3
/
ATOMIC_SPECIES
B 10.81 B.upf
Ac 227.00 Ac.upf
Rb 85.47 Rb.upf
CELL_PARAMETERS angstrom
2.301 4.706 2.924
1.098 -0.370 5.887
5.657 -0.179 1.991
ATOMIC_POSITIONS angstrom
B 1.605 1.817 1.968
B 7.451 2.340 8.834
B 3.279 1.764 2.557
B 7.807 3.842 7.958
B 2.923 0.262 3.433
B 1.930 1.707 3.709
B 6.133 3.895 7.369
B 6.458 3.785 9.110
B 7.126 2.450 7.092
B 2.598 0.371 1.692
B 5.777 2.393 8.245
B 1.249 0.315 2.844
Ac 0.000 0.000 0.000
Rb 4.528 2.078 5.401
```

Properties
Raw total energy = -6.42 eV per atom
Density of states at the Fermi level = 1.381 states/eV/f.u.
Space-group type = Fm-3m
DFT formation energy = -4.63 eV per formula unit
Calculated volume = 10.91 Å³/atom

---

Record 5
Compound: Co2ReAu
Source: Alexandria via LeMat-Bulk
Functional: GGA-PBE
Structure: optimized geometry Values from VASP.

Cell and atoms, written as Quantum ESPRESSO input:
```
&SYSTEM
  ibrav = 0, nat = 4, ntyp = 3
/
ATOMIC_SPECIES
Re 186.21 Re.upf
Co 58.93 Co.upf
Au 196.97 Au.upf
CELL_PARAMETERS angstrom
-3.251 -2.108 -1.762
0.314 -1.938 1.739
-3.180 2.109 3.343
ATOMIC_POSITIONS angstrom
Re -2.342 -1.011 0.390
Co -1.296 -0.067 2.472
Co 0.177 -1.784 1.808
Au -3.775 -0.925 2.931
```

Properties
Raw total energy = -7.06 eV per atom
Density of states at the Fermi level = 5.480 states/eV/f.u.
Energy above the lowest structure with this stoichiometry = 0.2739 eV per atom
Space-group type = P2/m
DFT formation energy = 1.70 eV per formula unit
Calculated volume = 14.14 Å³/atom